{
  "formula": "Li4ZnIn3",
  "functional": "PBE",
  "state": "relaxed",
  "cell": [[4.649, 0.000, 0.000], [0.000, 4.649, 0.000], [0.000, 0.000, 6.611]],
  "species": ["Li", "Li", "Li", "Li", "Zn", "In", "In", "In"],
  "fractional_positions": [[0.000, 0.000, 0.000], [0.000, 0.500, 0.736], [0.500, 0.000, 0.264], [0.500, 0.500, 0.500], [0.000, 0.000, 0.500], [0.000, 0.500, 0.269], [0.500, 0.000, 0.731], [0.500, 0.500, 0.000]],
  "final_energy_ev_per_fu": -19.3,
  "rho_g_cm3": 5.09
}



{
  "formula": "LiZn2In",
  "functional": "PBE",
  "state": "relaxed",
  "cell": [[-2.098, 2.104, 3.900], [2.098, -2.104, 3.900], [2.098, 2.104, -3.900]],
  "species": ["Li", "Zn", "Zn", "In"],
  "fractional_positions": [[0.000, 0.000, 0.000], [0.250, 0.750, 0.500], [0.750, 0.250, 0.500], [0.500, 0.500, 0.000]],
  "final_energy_ev_per_fu": -7.6,
  "rho_g_cm3": 6.09
}



{
  "formula": "LiZrIn2",
  "functional": "PBE",
  "state": "relaxed",
  "cell": [[0.000, 3.491, 3.491], [3.491, 0.000, 3.491], [3.491, 3.491, 0.000]],
  "species": ["Li", "Zr", "In", "In"],
  "fractional_positions": [[0.000, 0.000, 0.000], [0.250, 0.250, 0.250], [0.500, 0.500, 0.500], [0.750, 0.750, 0.750]],
  "final_energy_ev_per_fu": -15.6,
  "rho_g_cm3": 6.40
}



{
  "formula": "LuIn2",
  "functional": "PBE",
  "state": "relaxed",
  "cell": [[0.000, 4.197, 4.197], [4.197, 0.000, 4.197], [4.197, 4.197, 0.000]],
  "species": ["Lu", "Lu", "In", "In", "In", "In"],
  "fractional_positions": [[0.125, 0.125, 0.125], [0.875, 0.875, 0.875], [0.000, 0.500, 0.500], [0.500, 0.000, 0.500], [0.500, 0.500, 0.000], [0.500, 0.500, 0.500]],
  "final_energy_ev_per_fu": -10.6,
  "rho_g_cm3": 9.09
}



{
  "formula": "LuIn2",
  "functional": "PBE",
  "state": "relaxed",
  "cell": [[2.276, -7.031, 0.000], [2.276, 7.031, 0.000], [0.000, 0.000, 4.592]],
  "species": ["Lu", "Lu", "In", "In", "In", "In"],
  "fractional_positions": [[0.156, 0.844, 0.000], [0.844, 0.156, 0.000], [0.000, 0.000, 0.500], [0.324, 0.676, 0.500], [0.500, 0.500, 0.000], [0.676, 0.324, 0.500]],
  "final_energy_ev_per_fu": -11.1,
  "rho_g_cm3": 9.14
}



{
  "formula": "LuMgIn4Ni2",
  "functional": "PBE",
  "state": "relaxed",
  "cell": [[7.574, 0.000, 0.000], [0.000, 2.105, 5.033], [0.000, -2.105, 5.033]],
  "species": ["Lu", "Mg", "In", "In", "In", "In", "Ni", "Ni"],
  "fractional_positions": [[0.000, 0.000, 0.000], [0.500, 0.874, 0.874], [0.204, 0.292, 0.292], [0.304, 0.580, 0.580], [0.696, 0.580, 0.580], [0.796, 0.292, 0.292], [0.000, 0.714, 0.714], [0.500, 0.150, 0.150]],
  "final_energy_ev_per_fu": -30.4,
  "rho_g_cm3": 8.03
}



{
  "formula": "LuMgInPt",
  "functional": "PBE",
  "state": "relaxed",
  "cell": [[0.000, 3.438, 3.438], [3.438, 0.000, 3.438], [3.438, 3.438, 0.000]],
  "species": ["Lu", "Mg", "In", "Pt"],
  "fractional_positions": [[0.000, 0.000, 0.000], [0.500, 0.500, 0.500], [0.250, 0.250, 0.250], [0.750, 0.750, 0.750]],
  "final_energy_ev_per_fu": -17.5,
  "rho_g_cm3": 10.40
}



{
  "formula": "LuMgInPt",
  "functional": "PBE",
  "state": "relaxed",
  "cell": [[0.000, 3.398, 3.398], [3.398, 0.000, 3.398], [3.398, 3.398, 0.000]],
  "species": ["Lu", "Mg", "In", "Pt"],
  "fractional_positions": [[0.000, 0.000, 0.000], [0.250, 0.250, 0.250], [0.500, 0.500, 0.500], [0.750, 0.750, 0.750]],
  "final_energy_ev_per_fu": -17.4,
  "rho_g_cm3": 10.77
}



{
  "formula": "LuMgInPt",
  "functional": "PBE",
  "state": "relaxed",
  "cell": [[0.000, 3.394, 3.394], [3.394, 0.000, 3.394], [3.394, 3.394, 0.000]],
  "species": ["Lu", "Mg", "In", "Pt"],
  "fractional_positions": [[0.000, 0.000, 0.000], [0.250, 0.250, 0.250], [0.750, 0.750, 0.750], [0.500, 0.500, 0.500]],
  "final_energy_ev_per_fu": -16.9,
  "rho_g_cm3": 10.81
}



{
  "formula": "LuMgSc2In2",
  "functional": "PBE",
  "state": "relaxed",
  "cell": [[5.066, 0.000, 0.000], [-2.533, 4.388, 0.000], [0.000, 0.000, 6.295]],
  "species": ["Lu", "Mg", "Sc", "Sc", "In", "In"],
  "fractional_positions": [[0.000, 0.000, 0.000], [0.000, 0.000, 0.500], [0.333, 0.667, 0.308], [0.667, 0.333, 0.692], [0.333, 0.667, 0.794], [0.667, 0.333, 0.206]],
  "final_energy_ev_per_fu": -26.3,
  "rho_g_cm3": 6.16
}



{
  "formula": "LuMgInSe3",
  "functional": "PBE",
  "state": "relaxed",
  "cell": [[2.077, -7.257, 0.000], [2.077, 7.257, 0.000], [0.000, 0.000, 10.967]],
  "species": ["Lu", "Lu", "Mg", "Mg", "In", "In", "Se", "Se", "Se", "Se", "Se", "Se"],
  "fractional_positions": [[0.000, 0.000, 0.000], [0.000, 0.000, 0.500], [0.461, 0.539, 0.750], [0.539, 0.461, 0.250], [0.251, 0.749, 0.250], [0.749, 0.251, 0.750], [0.067, 0.933, 0.750], [0.372, 0.628, 0.551], [0.372, 0.628, 0.949], [0.628, 0.372, 0.051], [0.628, 0.372, 0.449], [0.933, 0.067, 0.250]],
  "final_energy_ev_per_fu": -26.5,
  "rho_g_cm3": 5.54
}



{
  "formula": "LuMgInSe3",
  "functional": "PBE",
  "state": "relaxed",
  "cell": [[14.534, 0.000, 0.000], [0.000, 4.153, 0.000], [0.000, 0.000, 11.237]],
  "species": ["Lu", "Lu", "Lu", "Lu", "Mg", "Mg", "Mg", "Mg", "In", "In", "In", "In", "Se", "Se", "Se", "Se", "Se", "Se", "Se", "Se", "Se", "Se", "Se", "Se"],
  "fractional_positions": [[0.026, 0.250, 0.151], [0.474, 0.750, 0.651], [0.526, 0.250, 0.349], [0.974, 0.750, 0.849], [0.028, 0.750, 0.400], [0.472, 0.250, 0.900], [0.528, 0.750, 0.100], [0.972, 0.250, 0.600], [0.248, 0.250, 0.457], [0.252, 0.750, 0.957], [0.748, 0.250, 0.043], [0.752, 0.750, 0.543], [0.077, 0.750, 0.625], [0.098, 0.250, 0.922], [0.143, 0.750, 0.229], [0.357, 0.250, 0.729], [0.402, 0.750, 0.422], [0.423, 0.250, 0.125], [0.577, 0.750, 0.875], [0.598, 0.250, 0.578], [0.643, 0.750, 0.271], [0.857, 0.250, 0.771], [0.902, 0.750, 0.078], [0.923, 0.250, 0.375]],
  "final_energy_ev_per_fu": -26.5,
  "rho_g_cm3": 5.40
}



{
  "formula": "LuMgInTe3",
  "functional": "PBE",
  "state": "relaxed",
  "cell": [[2.201, -7.643, 0.000], [2.201, 7.643, 0.000], [0.000, 0.000, 11.567]],
  "species": ["Lu", "Lu", "Mg", "Mg", "In", "In", "Te", "Te", "Te", "Te", "Te", "Te"],
  "fractional_positions": [[0.000, 0.000, 0.000], [0.000, 0.000, 0.500], [0.462, 0.538, 0.750], [0.538, 0.462, 0.250], [0.245, 0.755, 0.250], [0.755, 0.245, 0.750], [0.076, 0.924, 0.750], [0.365, 0.635, 0.549], [0.365, 0.635, 0.951], [0.635, 0.365, 0.049], [0.635, 0.365, 0.451], [0.924, 0.076, 0.250]],
  "final_energy_ev_per_fu": -23.4,
  "rho_g_cm3": 5.95
}



{
  "formula": "LuMgInTe3",
  "functional": "PBE",
  "state": "relaxed",
  "cell": [[15.227, 0.000, 0.000], [0.000, 4.424, 0.000], [0.000, 0.000, 11.866]],
  "species": ["Lu", "Lu", "Lu", "Lu", "Mg", "Mg", "Mg", "Mg", "In", "In", "In", "In", "Te", "Te", "Te", "Te", "Te", "Te", "Te", "Te", "Te", "Te", "Te", "Te"],
  "fractional_positions": [[0.025, 0.250, 0.153], [0.475, 0.750, 0.653], [0.525, 0.250, 0.347], [0.975, 0.750, 0.847], [0.022, 0.750, 0.400], [0.478, 0.250, 0.900], [0.522, 0.750, 0.100], [0.978, 0.250, 0.600], [0.240, 0.250, 0.451], [0.260, 0.750, 0.951], [0.740, 0.250, 0.049], [0.760, 0.750, 0.549], [0.090, 0.750, 0.624], [0.101, 0.250, 0.921], [0.149, 0.750, 0.232], [0.351, 0.250, 0.732], [0.399, 0.750, 0.421], [0.410, 0.250, 0.124], [0.590, 0.750, 0.876], [0.601, 0.250, 0.579], [0.649, 0.750, 0.268], [0.851, 0.250, 0.768], [0.899, 0.750, 0.079], [0.910, 0.250, 0.376]],
  "final_energy_ev_per_fu": -23.4,
  "rho_g_cm3": 5.79
}



{
  "formula": "LuInMo2",
  "functional": "PBE",
  "state": "relaxed",
  "cell": [[0.000, 3.360, 3.360], [3.360, 0.000, 3.360], [3.360, 3.360, 0.000]],
  "species": ["Lu", "In", "Mo", "Mo"],
  "fractional_positions": [[0.000, 0.000, 0.000], [0.750, 0.750, 0.750], [0.250, 0.250, 0.250], [0.500, 0.500, 0.500]],
  "final_energy_ev_per_fu": -28.3,
  "rho_g_cm3": 10.54
}



{
  "formula": "LuInMo",
  "functional": "PBE",
  "state": "relaxed",
  "cell": [[0.000, 3.416, 3.416], [3.416, 0.000, 3.416], [3.416, 3.416, 0.000]],
  "species": ["Lu", "In", "Mo"],
  "fractional_positions": [[0.000, 0.000, 0.000], [0.750, 0.750, 0.750], [0.250, 0.250, 0.250]],
  "final_energy_ev_per_fu": -14.9,
  "rho_g_cm3": 8.03
}



{
  "formula": "Lu2InMo",
  "functional": "PBE",
  "state": "relaxed",
  "cell": [[0.000, 3.521, 3.521], [3.521, 0.000, 3.521], [3.521, 3.521, 0.000]],
  "species": ["Lu", "Lu", "In", "Mo"],
  "fractional_positions": [[0.000, 0.000, 0.000], [0.250, 0.250, 0.250], [0.500, 0.500, 0.500], [0.750, 0.750, 0.750]],
  "final_energy_ev_per_fu": -21.9,
  "rho_g_cm3": 10.66
}



{
  "formula": "LuInMo",
  "functional": "PBE",
  "state": "relaxed",
  "cell": [[0.000, 3.365, 3.365], [3.365, 0.000, 3.365], [3.365, 3.365, 0.000]],
  "species": ["Lu", "In", "Mo"],
  "fractional_positions": [[0.000, 0.000, 0.000], [0.500, 0.500, 0.500], [0.750, 0.750, 0.750]],
  "final_energy_ev_per_fu": -16.3,
  "rho_g_cm3": 8.40
}



{
  "formula": "Lu4In3Mo2N3",
  "functional": "PBE",
  "state": "relaxed",
  "cell": [[4.983, -2.904, 0.000], [4.983, 2.904, 0.000], [-3.204, 0.000, 14.402]],
  "species": ["Lu", "Lu", "Lu", "Lu", "Lu", "Lu", "Lu", "Lu", "In", "In", "In", "In", "In", "In", "Mo", "Mo", "Mo", "Mo", "N", "N", "N", "N", "N", "N"],
  "fractional_positions": [[0.027, 0.199, 0.088], [0.141, 0.304, 0.412], [0.199, 0.027, 0.588], [0.304, 0.141, 0.912], [0.696, 0.859, 0.088], [0.801, 0.973, 0.412], [0.859, 0.696, 0.588], [0.973, 0.801, 0.912], [0.121, 0.879, 0.250], [0.286, 0.417, 0.749], [0.417, 0.286, 0.249], [0.583, 0.714, 0.751], [0.714, 0.583, 0.251], [0.879, 0.121, 0.750], [0.369, 0.523, 0.071], [0.477, 0.631, 0.429], [0.523, 0.369, 0.571], [0.631, 0.477, 0.929], [0.000, 0.500, 0.000], [0.160, 0.670, 0.500], [0.330, 0.840, 0.000], [0.500, 0.000, 0.500], [0.670, 0.160, 0.000], [0.840, 0.330, 0.500]],
  "final_energy_ev_per_fu": -82.5,
  "rho_g_cm3": 10.19
}



{
  "formula": "LuInNiMo",
  "functional": "PBE",
  "state": "relaxed",
  "cell": [[0.000, 3.316, 3.316], [3.316, 0.000, 3.316], [3.316, 3.316, 0.000]],
  "species": ["Lu", "In", "Ni", "Mo"],
  "fractional_positions": [[0.000, 0.000, 0.000], [0.500, 0.500, 0.500], [0.750, 0.750, 0.750], [0.250, 0.250, 0.250]],
  "final_energy_ev_per_fu": -23.0,
  "rho_g_cm3": 10.12
}